i:
Here is a relaxed Tb5Nd2Sm3 crystal from Alexandria via LeMat-Bulk. Energies are from PBE-GGA.

a = 6.8683 Å, b = 11.5680 Å, c = 12.1915 Å
α = 46.69°, β = 72.54°, γ = 75.24°
Last column: nearest neighbours and their distance in Å.
Positions (direct):
Tb  0.2275  0.2061  0.7536  3 Nd 3.44-3.78, 4 Tb 3.52-3.63, 5 Sm 3.53-3.77
Tb  0.7725  0.7939  0.2464  3 Nd 3.44-3.78, 4 Tb 3.52-3.63, 5 Sm 3.53-3.77
Tb  0.4613  0.6946  0.7436  2 Nd 3.28-3.52, 1 Sm 3.36, 4 Tb 3.46-3.60
Tb  0.0498  0.3659  0.1862  5 Tb 3.49-3.74, 3 Sm 3.52-3.69, 3 Nd 3.68-3.87
Tb  0.5387  0.3054  0.2564  2 Nd 3.28-3.52, 1 Sm 3.36, 4 Tb 3.46-3.60
Tb  0.9502  0.6341  0.8138  5 Tb 3.49-3.74, 3 Sm 3.52-3.69, 3 Nd 3.68-3.87
Tb  0.1772  0.4959  0.3639  8 Tb 3.46-3.74, 1 Nd 3.58, 3 Sm 3.62-3.73
Tb  0.8228  0.5041  0.6361  8 Tb 3.46-3.74, 1 Nd 3.58, 3 Sm 3.62-3.73
Tb  0.6776  0.3856  0.4603  1 Nd 3.43, 3 Sm 3.52-3.75, 8 Tb 3.54-3.67
Tb  0.3224  0.6144  0.5397  1 Nd 3.43, 3 Sm 3.52-3.75, 8 Tb 3.54-3.67
Nd  0.1358  0.7820  0.9667  6 Tb 3.52-3.87, 5 Sm 3.53-3.73, 1 Nd 3.73
Nd  0.8642  0.2180  0.0333  6 Tb 3.52-3.87, 5 Sm 3.53-3.73, 1 Nd 3.73
Nd  0.5941  0.9958  0.6738  3 Tb 3.28-3.44, 5 Sm 3.48-3.59
Nd  0.4059  0.0042  0.3262  3 Tb 3.28-3.44, 5 Sm 3.48-3.59
Sm  0.2718  0.9039  0.1482  3 Nd 3.48-3.73, 4 Sm 3.50-3.77, 5 Tb 3.53-3.62
Sm  0.7282  0.0961  0.8518  3 Nd 3.48-3.73, 4 Sm 3.50-3.77, 5 Tb 3.53-3.62
Sm  0.3730  0.3211  0.9275  6 Tb 3.36-3.69, 2 Sm 3.50-3.71, 3 Nd 3.55-3.59
Sm  0.6270  0.6789  0.0725  6 Tb 3.36-3.69, 2 Sm 3.50-3.71, 3 Nd 3.55-3.59
Sm  0.8865  0.9268  0.4283  6 Tb 3.52-3.79, 4 Nd 3.53-3.56, 2 Sm 3.77-3.93
Sm  0.1135  0.0732  0.5717  6 Tb 3.52-3.79, 4 Nd 3.53-3.56, 2 Sm 3.77-3.93

## Properties
The value obtained for the density is 7.597 g/cm3. The value obtained for the density of states at the Fermi level is 1.63 states/eV/atom. As for the symmetry: P-1 (2).

---

ii:
Here is a relaxed Tb5Nd2Sm3 crystal from Alexandria via LeMat-Bulk. Energies are from PBE-GGA.

a = 9.3970 Å, b = 9.3997 Å, c = 9.7612 Å
α = 108.21°, β = 108.20°, γ = 110.55°
Last column: nearest neighbours and their distance in Å.
Positions (direct):
Tb  0.2242  0.4742  0.9484  1 Tb 3.21, 4 Sm 3.36-3.54, 2 Nd 3.59
Tb  0.7758  0.5258  0.0516  1 Tb 3.21, 4 Sm 3.36-3.54, 2 Nd 3.59
Tb  0.9723  0.7223  0.4445  1 Tb 3.21, 4 Nd 3.33-3.52, 2 Sm 3.54
Tb  0.4784  0.2284  0.4567  5 Sm 3.34-3.48, 2 Nd 3.46, 2 Tb 3.56
Tb  0.0277  0.2777  0.5555  1 Tb 3.21, 4 Nd 3.33-3.52, 2 Sm 3.54
Tb  0.5216  0.7716  0.5433  5 Sm 3.34-3.48, 2 Nd 3.46, 2 Tb 3.56
Tb  0.8845  0.6073  0.7458  3 Sm 3.44-3.62, 2 Nd 3.45-3.62, 3 Tb 3.56-3.66
Tb  0.1155  0.3927  0.2542  3 Sm 3.44-3.62, 2 Nd 3.45-3.62, 3 Tb 3.56-3.66
Tb  0.3613  0.1386  0.7458  3 Sm 3.44-3.62, 2 Nd 3.45-3.62, 3 Tb 3.56-3.66
Tb  0.6387  0.8614  0.2542  3 Sm 3.44-3.62, 2 Nd 3.45-3.62, 3 Tb 3.56-3.66
Nd  0.9678  0.0124  0.7425  2 Sm 3.15-3.33, 4 Tb 3.33-3.52
Nd  0.0322  0.9876  0.2575  2 Sm 3.15-3.33, 4 Tb 3.33-3.52
Nd  0.2747  0.7301  0.7425  2 Sm 3.15-3.33, 4 Tb 3.33-3.52
Nd  0.7253  0.2699  0.2575  2 Sm 3.15-3.33, 4 Tb 3.33-3.52
Sm  0.2701  0.0201  0.0401  4 Nd 3.33-3.53, 3 Tb 3.40-3.62, 2 Sm 3.48
Sm  0.7299  0.9799  0.9599  4 Nd 3.33-3.53, 3 Tb 3.40-3.62, 2 Sm 3.48
Sm  0.5166  0.4683  0.2477  1 Nd 3.15, 4 Tb 3.34-3.48, 1 Sm 3.48
Sm  0.4834  0.5317  0.7523  1 Nd 3.15, 4 Tb 3.34-3.48, 1 Sm 3.48
Sm  0.2311  0.7795  0.2477  1 Nd 3.15, 4 Tb 3.34-3.48, 1 Sm 3.48
Sm  0.7689  0.2205  0.7523  1 Nd 3.15, 4 Tb 3.34-3.48, 1 Sm 3.48

## Properties
The value obtained for the density is 7.548 g/cm3. The value obtained for the density of states at the Fermi level is 1.80 states/eV/atom. As for the symmetry: C2/c (15).

---

Which of them is most stable? Easy: i.

---

i:
Here is a relaxed TbNd2Sm9 crystal from Alexandria via LeMat-Bulk. Energies are from PBE-GGA.

a = 5.1321 Å, b = 5.1321 Å, c = 15.3957 Å
α = 90.00°, β = 90.00°, γ = 90.00°
Last column: nearest neighbours and their distance in Å.
Positions (direct):
Tb  0.0000  0.0000  0.0000  12 Sm 3.61-3.63
Nd  0.0000  0.0000  0.3325  12 Sm 3.63-3.64
Nd  0.0000  0.0000  0.6675  12 Sm 3.63-3.64
Sm  0.5000  0.5000  0.0000  8 Sm 3.61, 4 Tb 3.63
Sm  0.5000  0.5000  0.3325  4 Nd 3.63, 8 Sm 3.64
Sm  0.5000  0.5000  0.6675  4 Nd 3.63, 8 Sm 3.64
Sm  0.5000  0.0000  0.1651  2 Tb 3.61, 8 Sm 3.61-3.64, 2 Nd 3.64
Sm  0.5000  0.0000  0.5000  8 Sm 3.63-3.64, 4 Nd 3.64
Sm  0.5000  0.0000  0.8349  2 Tb 3.61, 8 Sm 3.61-3.64, 2 Nd 3.64
Sm  0.0000  0.5000  0.1651  2 Tb 3.61, 8 Sm 3.61-3.64, 2 Nd 3.64
Sm  0.0000  0.5000  0.5000  8 Sm 3.63-3.64, 4 Nd 3.64
Sm  0.0000  0.5000  0.8349  2 Tb 3.61, 8 Sm 3.61-3.64, 2 Nd 3.64

## Properties
The value obtained for the density is 7.374 g/cm3. The value obtained for the density of states at the Fermi level is 1.62 states/eV/atom. As for the symmetry: P4/mmm (123).

---

ii:
Here is a relaxed TbNd2Sm9 crystal from Alexandria via LeMat-Bulk. Energies are from PBE-GGA.

a = 3.5430 Å, b = 11.4789 Å, c = 11.4789 Å
α = 120.00°, β = 90.00°, γ = 90.00°
Last column: nearest neighbours and their distance in Å.
Positions (direct):
Tb  0.0000  0.0000  0.0000  2 Tb 3.54, 12 Sm 3.86
Nd  0.0000  0.3333  0.6667  9 Sm 3.31-3.66, 2 Nd 3.54
Nd  0.0000  0.6667  0.3333  9 Sm 3.31-3.66, 2 Nd 3.54
Sm  0.0000  0.0000  0.5000  2 Nd 3.31, 10 Sm 3.54-3.71
Sm  0.0000  0.5000  0.5000  2 Nd 3.31, 10 Sm 3.54-3.71
Sm  0.0000  0.5000  0.0000  2 Nd 3.31, 10 Sm 3.54-3.71
Sm  0.5000  0.3448  0.1724  8 Sm 3.43-3.71, 2 Nd 3.66
Sm  0.5000  0.1724  0.8276  8 Sm 3.43-3.71, 2 Nd 3.66
Sm  0.5000  0.1724  0.3448  8 Sm 3.43-3.71, 2 Nd 3.66
Sm  0.5000  0.8276  0.6552  8 Sm 3.43-3.71, 2 Nd 3.66
Sm  0.5000  0.8276  0.1724  8 Sm 3.43-3.71, 2 Nd 3.66
Sm  0.5000  0.6552  0.8276  8 Sm 3.43-3.71, 2 Nd 3.66

## Properties
The value obtained for the density is 7.396 g/cm3. The value obtained for the density of states at the Fermi level is 1.27 states/eV/atom. As for the symmetry: P6/mmm (191).

---

Which of them is most stable? Easy: i.

---

i:
Here is a relaxed Tb3NdSm crystal from Alexandria via LeMat-Bulk. Energies are from PBE-GGA.

a = 6.2321 Å, b = 9.5215 Å, c = 9.5357 Å
α = 130.03°, β = 109.30°, γ = 102.44°
Last column: nearest neighbours and their distance in Å.
Positions (direct):
Tb  0.9502  0.5516  0.2003  3 Sm 3.57-3.60, 7 Tb 3.59-3.61, 2 Nd 3.59-3.61
Tb  0.8495  0.6487  0.5982  5 Tb 3.58-3.61, 3 Sm 3.59-3.62, 4 Nd 3.60-3.61
Tb  0.6497  0.8499  0.3995  3 Sm 3.59-3.60, 7 Tb 3.59-3.60, 2 Nd 3.59-3.60
Tb  0.3503  0.1501  0.6005  3 Sm 3.59-3.60, 7 Tb 3.59-3.60, 2 Nd 3.59-3.60
Tb  0.0498  0.4484  0.7997  3 Sm 3.57-3.60, 7 Tb 3.59-3.61, 2 Nd 3.59-3.61
Tb  0.1505  0.3513  0.4018  5 Tb 3.58-3.61, 3 Sm 3.59-3.62, 4 Nd 3.60-3.61
Nd  0.4487  0.0498  0.2009  8 Tb 3.59-3.61, 3 Sm 3.59-3.62, 1 Nd 3.63
Nd  0.5513  0.9502  0.7991  8 Tb 3.59-3.61, 3 Sm 3.59-3.62, 1 Nd 3.63
Sm  0.2507  0.2517  0.0003  9 Tb 3.57-3.62, 3 Nd 3.59-3.62
Sm  0.7493  0.7483  0.9997  9 Tb 3.57-3.62, 3 Nd 3.59-3.62

## Properties
The value obtained for the density is 7.775 g/cm3. The value obtained for the density of states at the Fermi level is 1.41 states/eV/atom. As for the symmetry: P-1 (2).

---

ii:
Here is a relaxed Tb3NdSm crystal from Alexandria via LeMat-Bulk. Energies are from PBE-GGA.

a = 3.6375 Å, b = 8.6372 Å, c = 11.7100 Å
α = 90.00°, β = 90.00°, γ = 102.08°
Last column: nearest neighbours and their distance in Å.
Positions (direct):
Tb  0.8436  0.1894  0.9982  6 Tb 3.43-3.68, 2 Nd 3.51, 1 Sm 3.78
Tb  0.1564  0.8106  0.0018  6 Tb 3.43-3.68, 2 Nd 3.51, 1 Sm 3.78
Tb  0.8436  0.1894  0.5018  6 Tb 3.43-3.68, 2 Nd 3.51, 1 Sm 3.78
Tb  0.1564  0.8106  0.4982  6 Tb 3.43-3.68, 2 Nd 3.51, 1 Sm 3.78
Tb  0.6515  0.7985  0.2500  2 Nd 3.29, 2 Sm 3.32, 6 Tb 3.43-3.64
Tb  0.3485  0.2015  0.7500  2 Nd 3.29, 2 Sm 3.32, 6 Tb 3.43-3.64
Nd  0.3124  0.1233  0.2500  6 Tb 3.29-3.51, 2 Sm 3.43-3.45, 2 Nd 3.64
Nd  0.6876  0.8767  0.7500  6 Tb 3.29-3.51, 2 Sm 3.43-3.45, 2 Nd 3.64
Sm  0.9888  0.4692  0.2500  2 Tb 3.32, 2 Nd 3.43-3.45, 2 Sm 3.64
Sm  0.0112  0.5308  0.7500  2 Tb 3.32, 2 Nd 3.43-3.45, 2 Sm 3.64

## Properties
The value obtained for the density is 7.121 g/cm3. The value obtained for the density of states at the Fermi level is 1.59 states/eV/atom. As for the symmetry: P2_1/m (11).

---

Which of them is most stable? Easy: i.

---

i:
Here is a relaxed Tb12NdSm6 crystal from Alexandria via LeMat-Bulk. Energies are from PBE-GGA.

a = 8.5929 Å, b = 8.5929 Å, c = 8.5929 Å
α = 88.84°, β = 88.84°, γ = 88.84°
Last column: nearest neighbours and their distance in Å.
Positions (direct):
Tb  0.7744  0.5401  0.4368  6 Tb 3.29-3.60, 3 Sm 3.33-3.44
Tb  0.4368  0.7744  0.5401  6 Tb 3.29-3.60, 3 Sm 3.33-3.44
Tb  0.5401  0.4368  0.7744  6 Tb 3.29-3.60, 3 Sm 3.33-3.44
Tb  0.2256  0.4599  0.5632  6 Tb 3.29-3.60, 3 Sm 3.33-3.44
Tb  0.5632  0.2256  0.4599  6 Tb 3.29-3.60, 3 Sm 3.33-3.44
Tb  0.4599  0.5632  0.2256  6 Tb 3.29-3.60, 3 Sm 3.33-3.44
Tb  0.0133  0.2046  0.3564  4 Tb 3.43-3.58, 4 Sm 3.53-3.70, 1 Nd 3.57
Tb  0.7954  0.6436  0.9867  4 Tb 3.43-3.58, 4 Sm 3.53-3.70, 1 Nd 3.57
Tb  0.6436  0.9867  0.7954  4 Tb 3.43-3.58, 4 Sm 3.53-3.70, 1 Nd 3.57
Tb  0.9867  0.7954  0.6436  4 Tb 3.43-3.58, 4 Sm 3.53-3.70, 1 Nd 3.57
Tb  0.2046  0.3564  0.0133  4 Tb 3.43-3.58, 4 Sm 3.53-3.70, 1 Nd 3.57
Tb  0.3564  0.0133  0.2046  4 Tb 3.43-3.58, 4 Sm 3.53-3.70, 1 Nd 3.57
Nd  0.0000  0.0000  0.0000  6 Sm 3.53, 6 Tb 3.57
Sm  0.7405  0.9080  0.3099  7 Tb 3.33-3.70, 1 Nd 3.53, 2 Sm 3.55
Sm  0.6901  0.2595  0.0920  7 Tb 3.33-3.70, 1 Nd 3.53, 2 Sm 3.55
Sm  0.0920  0.6901  0.2595  7 Tb 3.33-3.70, 1 Nd 3.53, 2 Sm 3.55
Sm  0.2595  0.0920  0.6901  7 Tb 3.33-3.70, 1 Nd 3.53, 2 Sm 3.55
Sm  0.3099  0.7405  0.9080  7 Tb 3.33-3.70, 1 Nd 3.53, 2 Sm 3.55
Sm  0.9080  0.3099  0.7405  7 Tb 3.33-3.70, 1 Nd 3.53, 2 Sm 3.55

## Properties
The value obtained for the density is 7.735 g/cm3. The value obtained for the density of states at the Fermi level is 1.58 states/eV/atom. As for the symmetry: R-3 (148).

---

ii:
Here is a relaxed Tb12NdSm6 crystal from Alexandria via LeMat-Bulk. Energies are from PBE-GGA.

a = 8.7572 Å, b = 8.7572 Å, c = 8.7572 Å
α = 98.70°, β = 98.70°, γ = 98.70°
Last column: nearest neighbours and their distance in Å.
Positions (direct):
Tb  0.7583  0.2417  0.5000  6 Tb 3.36-3.54, 4 Sm 3.48-3.57
Tb  0.3563  0.0827  0.3563  6 Tb 3.36-3.64, 2 Sm 3.71
Tb  0.3563  0.3563  0.0827  6 Tb 3.36-3.64, 2 Sm 3.71
Tb  0.9173  0.6437  0.6437  6 Tb 3.36-3.64, 2 Sm 3.71
Tb  0.6437  0.6437  0.9173  6 Tb 3.36-3.64, 2 Sm 3.71
Tb  0.6437  0.9173  0.6437  6 Tb 3.36-3.64, 2 Sm 3.71
Tb  0.5000  0.7583  0.2417  6 Tb 3.36-3.54, 4 Sm 3.48-3.57
Tb  0.2417  0.5000  0.7583  6 Tb 3.36-3.54, 4 Sm 3.48-3.57
Tb  0.2417  0.7583  0.5000  6 Tb 3.36-3.54, 4 Sm 3.48-3.57
Tb  0.5000  0.2417  0.7583  6 Tb 3.36-3.54, 4 Sm 3.48-3.57
Tb  0.7583  0.5000  0.2417  6 Tb 3.36-3.54, 4 Sm 3.48-3.57
Tb  0.0827  0.3563  0.3563  6 Tb 3.36-3.64, 2 Sm 3.71
Nd  0.0000  0.0000  0.0000  6 Sm 3.45
Sm  0.9019  0.3440  0.9019  1 Sm 3.10, 1 Nd 3.45
Sm  0.9019  0.9019  0.3440  1 Sm 3.10, 1 Nd 3.45
Sm  0.3440  0.9019  0.9019  1 Sm 3.10, 1 Nd 3.45
Sm  0.0981  0.0981  0.6560  1 Sm 3.10, 1 Nd 3.45
Sm  0.0981  0.6560  0.0981  1 Sm 3.10, 1 Nd 3.45
Sm  0.6560  0.0981  0.0981  1 Sm 3.10, 1 Nd 3.45

## Properties
The value obtained for the density is 7.595 g/cm3. The value obtained for the density of states at the Fermi level is 1.72 states/eV/atom. As for the symmetry: R-3m (166).

---

Which of them is most stable? Easy: i.